Computed, not measured: crystalline InAsC3 at its relaxed geometry at the PBE level of DFT.

Lattice parameters (Å, degrees): 4.0056 4.0056 4.0056 90.00 90.00 90.00
Element x y z (fractional)
C 0.0000 0.5000 0.0000
C 0.5000 0.0000 0.0000
C 0.0000 0.0000 0.5000
As 0.0000 0.0000 0.0000
In 0.5000 0.5000 0.5000

## Properties
space-group type	Pm-3m, No. 221
energy of formation	2459	meV/atom
ΔE to the lowest computed polymorph	0	meV per atom


Computed, not measured: crystalline YTm4Sc2 at its relaxed geometry at the PBE level of DFT.

Lattice parameters (Å, degrees): 5.9485 8.1086 5.9460 126.44 110.53 66.67
Element x y z (fractional)
Tm 0.9778 0.2708 0.6817
Tm 0.4112 0.2706 0.2483
Tm 0.0222 0.7292 0.3183
Tm 0.5888 0.7294 0.7517
Sc 0.5000 0.5000 0.0000
Sc 0.5000 0.0000 0.5000
Y 0.0000 0.0000 0.0000

## Properties
space-group type	C2/m, No. 12
energy of formation	204	meV/atom
ΔE to the lowest computed polymorph	113	meV per atom


Computed, not measured: crystalline Cs12RbNa5 at its relaxed geometry at the PBE level of DFT.

Lattice parameters (Å, degrees): 12.8753 12.8753 12.8753 103.22 112.78 112.59
Element x y z (fractional)
Cs 0.5402 0.8164 0.7237
Cs 0.9073 0.1836 0.7237
Cs 0.8016 0.0340 0.2324
Cs 0.8016 0.5692 0.7676
Cs 0.1984 0.4308 0.2324
Cs 0.4598 0.1836 0.2763
Cs 0.7001 0.3206 0.0207
Cs 0.2999 0.6794 0.9793
Cs 0.0927 0.8164 0.2763
Cs 0.2999 0.3206 0.6205
Cs 0.1984 0.9660 0.7676
Cs 0.7001 0.6794 0.3795
Na 0.0000 0.0000 0.0000
Na 0.6351 0.6351 0.0000
Na 0.5000 0.1135 0.6135
Na 0.3649 0.3649 0.0000
Na 0.5000 0.8865 0.3865
Rb 0.0000 0.5000 0.5000

## Properties
space-group type	Immm, No. 71
energy of formation	17	meV/atom


Computed, not measured: crystalline Tb3Er4Au4 at its relaxed geometry at the PBE level of DFT.

Lattice parameters (Å, degrees): 4.8096 7.6727 9.0079 115.21 105.48 90.00
Element x y z (fractional)
Au 0.5000 0.1888 0.0000
Au 0.2054 0.7054 0.4108
Au 0.5000 0.8112 0.0000
Au 0.7946 0.2946 0.5892
Tb 0.8969 0.8969 0.7938
Tb 0.1031 0.1031 0.2062
Tb 0.0000 0.5000 0.0000
Er 0.6728 0.8867 0.3456
Er 0.3272 0.1133 0.6544
Er 0.6728 0.4589 0.3456
Er 0.3272 0.5411 0.6544

## Properties
space-group type	Immm, No. 71
energy of formation	-579	meV/atom


Computed, not measured: crystalline Rb2ZnSI6 at its relaxed geometry at the PBE level of DFT.

Lattice parameters (Å, degrees): 8.4134 8.4134 8.4248 60.04 60.04 90.00
Element x y z (fractional)
I 0.2108 0.2108 0.5784
I 0.2714 0.7286 0.0000
I 0.7892 0.7892 0.4216
I 0.2714 0.2714 0.0000
I 0.7286 0.7286 0.0000
I 0.7286 0.2714 0.0000
Rb 0.7500 0.2500 0.5000
Rb 0.2500 0.7500 0.5000
S 0.5000 0.5000 0.0000
Zn 0.0000 0.0000 0.0000

## Properties
space-group type	I4/mmm, No. 139
formation energy (no corrections)	-633	meV per atom


Computed, not measured: crystalline Li4SeF2 at its relaxed geometry at the PBE level of DFT.

Lattice parameters (Å, degrees): 3.5507 5.3664 10.0352 90.00 90.00 109.32
Element x y z (fractional)
Li 0.9242 0.8485 0.7500
Li 0.7874 0.5748 0.1058
Li 0.2126 0.4252 0.6058
Li 0.7874 0.5748 0.3942
Li 0.0758 0.1515 0.2500
Li 0.2126 0.4252 0.8942
Li 0.5000 0.0000 0.0000
Li 0.5000 0.0000 0.5000
Se 0.4002 0.8004 0.2500
Se 0.5998 0.1996 0.7500
F 0.8625 0.7250 0.5635
F 0.8625 0.7250 0.9365
F 0.1375 0.2750 0.0635
F 0.1375 0.2750 0.4365

## Properties
space-group type	Cmcm, No. 63
formation energy (no corrections)	-2061	meV per atom


Computed, not measured: crystalline Cu2MoPt at its relaxed geometry at the PBE level of DFT.

Lattice parameters (Å, degrees): 2.6728 3.7808 5.5219 90.00 90.00 90.00
Element x y z (fractional)
Cu 0.0000 0.0000 0.5023
Cu 0.0000 0.0000 0.9977
Mo 0.5000 0.5000 0.2500
Pt 0.5000 0.5000 0.7500

## Properties
space-group type	Pmmm, No. 47
energy of formation	80	meV/atom
ΔE to the lowest computed polymorph	138	meV per atom


Computed, not measured: crystalline Er8Co2S at its relaxed geometry at the PBE level of DFT.

Lattice parameters (Å, degrees): 3.6989 8.5892 8.9851 97.79 101.88 90.00
Element x y z (fractional)
Er 0.0108 0.2224 0.0216
Er 0.6605 0.9764 0.3209
Er 0.2128 0.3270 0.4257
Er 0.7872 0.6730 0.5743
Er 0.3988 0.4348 0.7977
Er 0.3395 0.0236 0.6791
Er 0.6012 0.5652 0.2023
Er 0.9892 0.7776 0.9784
Co 0.1876 0.7592 0.3751
Co 0.8124 0.2408 0.6249
S 0.5000 0.0000 0.0000

## Properties
space-group type	C2/m, No. 12
formation energy (no corrections)	-437	meV per atom


Computed, not measured: crystalline Os3SeO at its relaxed geometry at the PBE level of DFT.

Lattice parameters (Å, degrees): 4.1433 4.1433 4.1433 90.00 90.00 90.00
Element x y z (fractional)
Os 0.0000 0.0000 0.5000
Os 0.0000 0.5000 0.0000
Os 0.5000 0.0000 0.0000
Se 0.5000 0.5000 0.5000
O 0.0000 0.0000 0.0000

## Properties
space-group type	Pm-3m, No. 221
formation energy (no corrections)	1304	meV per atom
ΔE to the lowest computed polymorph	0	meV per atom


Computed, not measured: crystalline La2TlCoAg at its relaxed geometry at the PBE level of DFT.

Lattice parameters (Å, degrees): 5.2548 5.2548 5.0144 90.00 90.00 90.00
Element x y z (fractional)
La 0.5000 0.0000 0.0000
La 0.0000 0.5000 0.0000
Ag 0.5000 0.5000 0.5000
Tl 0.0000 0.0000 0.5000
Co 0.0000 0.0000 0.0000

## Properties
space-group type	P4/mmm, No. 123
energy of formation	-176	meV/atom
ΔE to the lowest computed polymorph	0	meV per atom


Computed, not measured: crystalline AcGeIrO at its relaxed geometry at the PBE level of DFT.

Lattice parameters (Å, degrees): 4.2177 4.2177 8.9835 90.00 90.00 90.00
Element x y z (fractional)
O 0.0000 0.0000 0.5000
O 0.5000 0.5000 0.5000
Ir 0.5000 0.5000 0.0000
Ir 0.0000 0.0000 0.0000
Ge 0.5000 0.0000 0.1468
Ge 0.0000 0.5000 0.8532
Ac 0.0000 0.5000 0.3571
Ac 0.5000 0.0000 0.6429

## Properties
space-group type	P4/nmm, No. 129
formation energy (no corrections)	-1808	meV per atom


Computed, not measured: crystalline Pr10Bi3Pb3 at its relaxed geometry at the PBE level of DFT.

Lattice parameters (Å, degrees): 6.7718 9.5553 9.5553 120.00 90.00 90.00
Element x y z (fractional)
Pr 0.0000 0.2433 0.0000
Pr 0.7495 0.3333 0.6667
Pr 0.5000 0.2436 0.2436
Pr 0.0000 0.0000 0.2433
Pr 0.2505 0.6667 0.3333
Pr 0.7495 0.6667 0.3333
Pr 0.2505 0.3333 0.6667
Pr 0.0000 0.7567 0.7567
Pr 0.5000 0.7564 0.0000
Pr 0.5000 0.0000 0.7564
Bi 0.0000 0.6106 0.0000
Bi 0.0000 0.0000 0.6106
Bi 0.0000 0.3894 0.3894
Pb 0.5000 0.6100 0.6100
Pb 0.5000 0.3900 0.0000
Pb 0.5000 0.0000 0.3900

## Properties
space-group type	P-62m, No. 189
energy of formation	-663	meV/atom


Computed, not measured: crystalline CaZrZn2 at its relaxed geometry at the PBE level of DFT.

Lattice parameters (Å, degrees): 4.9049 4.9049 4.9049 60.00 60.00 60.00
Element x y z (fractional)
Ca 0.5000 0.5000 0.5000
Zr 0.7500 0.7500 0.7500
Zn 0.0000 0.0000 0.0000
Zn 0.2500 0.2500 0.2500

## Properties
space-group type	F-43m, No. 216
energy of formation	307	meV/atom


Computed, not measured: crystalline Ho2UTl3Te6 at its relaxed geometry at the PBE level of DFT.

Lattice parameters (Å, degrees): 7.6978 7.6978 8.6194 98.56 98.56 119.99
Element x y z (fractional)
Te 0.0715 0.4096 0.2143
Te 0.2671 0.2671 0.7866
Te 0.5904 0.9285 0.7857
Te 0.9285 0.5904 0.7857
Te 0.4096 0.0715 0.2143
Te 0.7329 0.7329 0.2134
Tl 0.8347 0.1653 0.5000
Tl 0.1653 0.8347 0.5000
Tl 0.5000 0.5000 0.5000
U 0.0000 0.0000 0.0000
Ho 0.3331 0.6669 0.0000
Ho 0.6669 0.3331 0.0000

## Properties
space-group type	C2/m, No. 12
formation energy (no corrections)	-860	meV per atom


Computed, not measured: crystalline Na2Cu2IrSe4 at its relaxed geometry at the PBE level of DFT.

Lattice parameters (Å, degrees): 3.8961 7.6619 7.0936 114.54 90.00 104.73
Element x y z (fractional)
Cu 0.6946 0.3892 0.9856
Cu 0.3054 0.6108 0.0144
Na 0.1353 0.2705 0.5546
Na 0.8647 0.7295 0.4454
Se 0.1894 0.3789 0.1899
Se 0.8106 0.6211 0.8101
Se 0.4876 0.9752 0.2236
Se 0.5124 0.0248 0.7764
Ir 0.0000 0.0000 0.0000

## Properties
space-group type	C2/m, No. 12
formation energy (no corrections)	-463	meV per atom


Computed, not measured: crystalline PmDy2ThP4 at its relaxed geometry at the PBE level of DFT.

Lattice parameters (Å, degrees): 4.0797 7.0382 7.0581 70.52 90.00 90.00
Element x y z (fractional)
P 0.5000 0.2431 0.7516
P 0.5000 0.7569 0.2484
P 0.0000 0.7567 0.7464
P 0.0000 0.2433 0.2536
Th 0.0000 0.5000 0.5000
Dy 0.0000 0.0000 0.0000
Dy 0.5000 0.0000 0.5000
Pm 0.5000 0.5000 0.0000

## Properties
space-group type	P2/m, No. 10
energy of formation	-1605	meV/atom


Computed, not measured: crystalline ScCdTc at its relaxed geometry at the PBE level of DFT.

Lattice parameters (Å, degrees): 4.5648 4.5648 4.5648 60.00 60.00 60.00
Element x y z (fractional)
Sc 0.5000 0.5000 0.5000
Cd 0.0000 0.0000 0.0000
Tc 0.2500 0.2500 0.2500

## Properties
space-group type	F-43m, No. 216
energy of formation	574	meV/atom
ΔE to the lowest computed polymorph	513	meV per atom


Computed, not measured: crystalline Nd2Er3Tl4 at its relaxed geometry at the PBE level of DFT.

Lattice parameters (Å, degrees): 7.1321 9.0582 9.0858 90.00 113.11 90.00
Element x y z (fractional)
Tl 0.2846 0.2500 0.0691
Tl 0.6841 0.5428 0.3682
Tl 0.7846 0.2500 0.0691
Tl 0.1841 0.9572 0.3682
Tl 0.8159 0.0428 0.6318
Tl 0.3159 0.4572 0.6318
Tl 0.7154 0.7500 0.9309
Tl 0.2154 0.7500 0.9309
Er 0.5338 0.7500 0.5676
Er 0.9662 0.2500 0.4324
Er 0.4662 0.2500 0.4324
Er 0.5000 0.5000 0.0000
Er 0.0338 0.7500 0.5676
Er 0.0000 0.0000 0.0000
Nd 0.6092 0.9214 0.2183
Nd 0.1092 0.5786 0.2183
Nd 0.3908 0.0786 0.7817
Nd 0.8908 0.4214 0.7817

## Properties
space-group type	Cmce, No. 64
energy of formation	-243	meV/atom
ΔE to the lowest computed polymorph	46	meV per atom


Computed, not measured: crystalline Sc3Co2Sn4 at its relaxed geometry at the PBE level of DFT.

Lattice parameters (Å, degrees): 7.2760 7.2942 7.2942 94.59 84.58 84.58
Element x y z (fractional)
Sc 0.8159 0.1013 0.2523
Sc 0.2500 0.5821 0.4179
Sc 0.6841 0.7477 0.8987
Sc 0.7500 0.4179 0.5821
Sc 0.3159 0.2523 0.1013
Sc 0.1841 0.8987 0.7477
Sn 0.6313 0.5028 0.2159
Sn 0.5570 0.0880 0.7053
Sn 0.0570 0.7053 0.0880
Sn 0.8687 0.7841 0.4972
Sn 0.1313 0.2159 0.5028
Sn 0.9430 0.2947 0.9120
Sn 0.4430 0.9120 0.2947
Sn 0.3687 0.4972 0.7841
Co 0.5164 0.7354 0.5848
Co 0.0164 0.5848 0.7354
Co 0.4836 0.2646 0.4152
Co 0.9836 0.4152 0.2646

## Properties
space-group type	C2/c, No. 15
energy of formation	-337	meV/atom
ΔE to the lowest computed polymorph	96	meV per atom


Computed, not measured: crystalline CuAsSe3 at its relaxed geometry at the PBE level of DFT.

Lattice parameters (Å, degrees): 3.5828 9.5088 9.8262 118.05 90.00 100.86
Element x y z (fractional)
Se 0.8210 0.6419 0.5128
Se 0.0139 0.0279 0.1960
Se 0.6710 0.3420 0.0498
Se 0.1790 0.3581 0.4872
Se 0.3290 0.6580 0.9502
Se 0.9861 0.9721 0.8040
As 0.8685 0.7370 0.1449
As 0.1315 0.2630 0.8551
Cu 0.4101 0.8203 0.6456
Cu 0.5899 0.1797 0.3544

## Properties
space-group type	C2/m, No. 12
formation energy (no corrections)	-10	meV per atom
ΔE to the lowest computed polymorph	0	meV per atom


Computed, not measured: crystalline Sc2CdTe at its relaxed geometry at the PBE level of DFT.

Lattice parameters (Å, degrees): 5.8772 5.8772 4.4627 89.79 89.79 38.14
Element x y z (fractional)
Cd 0.2674 0.2674 0.1252
Te 0.4756 0.4756 0.6248
Sc 0.0113 0.0113 0.1245
Sc 0.7457 0.7457 0.6255

## Properties
space-group type	Cm, No. 8
formation energy (no corrections)	-537	meV per atom
ΔE to the lowest computed polymorph	41	meV per atom


Computed, not measured: crystalline ErZrCdPb at its relaxed geometry at the PBE level of DFT.

Lattice parameters (Å, degrees): 5.1769 5.1769 5.1769 60.00 60.00 60.00
Element x y z (fractional)
Zr 0.5000 0.5000 0.5000
Pb 0.7500 0.7500 0.7500
Er 0.0000 0.0000 0.0000
Cd 0.2500 0.2500 0.2500

## Properties
space-group type	F-43m, No. 216
energy of formation	-148	meV/atom


Computed, not measured: crystalline NaCa8Tl2 at its relaxed geometry at the PBE level of DFT.

Lattice parameters (Å, degrees): 6.1703 8.8022 8.8022 112.23 99.43 99.43
Element x y z (fractional)
Ca 0.5000 0.7555 0.2445
Ca 0.9074 0.9282 0.6702
Ca 0.5000 0.2445 0.7555
Ca 0.9074 0.6702 0.9282
Ca 0.0926 0.3298 0.0718
Ca 0.3018 0.6105 0.6105
Ca 0.0926 0.0718 0.3298
Ca 0.6982 0.3895 0.3895
Tl 0.0000 0.6859 0.3141
Tl 0.0000 0.3141 0.6859
Na 0.5000 0.0000 0.0000

## Properties
space-group type	C2/m, No. 12
energy of formation	-126	meV/atom


Number 1: electronic total energy -4.55 eV per atom, magnetization 0.00 μB/atom. Number 2: electronic total energy -5.08 eV per atom, magnetization 0.00 μB/atom. Number 3: electronic total energy -0.97 eV per atom, magnetization 0.00 μB/atom. Number 4: electronic total energy -4.69 eV per atom, magnetization 0.00 μB/atom. Number 5: electronic total energy -2.30 eV per atom, magnetization 0.00 μB/atom. Number 6: electronic total energy -4.19 eV per atom, magnetization 0.00 μB/atom. Number 7: electronic total energy -6.19 eV per atom, magnetization 0.00 μB/atom. Number 8: electronic total energy -5.42 eV per atom, magnetization 0.00 μB/atom. Number 9: electronic total energy -7.12 eV per atom, magnetization 0.00 μB/atom. Number 10: electronic total energy -4.61 eV per atom, magnetization 0.00 μB/atom. Number 11: electronic total energy -7.44 eV per atom, magnetization 0.00 μB/atom. Number 12: electronic total energy -5.07 eV per atom, magnetization 0.02 μB/atom. Number 13: electronic total energy -2.97 eV per atom, magnetization 0.43 μB/atom. Number 14: electronic total energy -4.73 eV per atom, magnetization 0.25 μB/atom. Number 15: electronic total energy -4.20 eV per atom, magnetization 0.00 μB/atom. Number 16: electronic total energy -6.98 eV per atom, magnetization 0.00 μB/atom. Number 17: electronic total energy -5.30 eV per atom, magnetization 0.47 μB/atom. Number 18: electronic total energy -3.87 eV per atom, magnetization 0.00 μB/atom. Number 19: electronic total energy -5.81 eV per atom, magnetization 0.00 μB/atom. Number 20: electronic total energy -3.85 eV per atom, magnetization 0.00 μB/atom. Number 21: electronic total energy -4.72 eV per atom, magnetization 0.00 μB/atom. Number 22: electronic total energy -4.58 eV per atom, magnetization 0.02 μB/atom. Number 23: electronic total energy -2.13 eV per atom, magnetization 0.00 μB/atom.